1.
# HfHgSb | OQMD via LeMat-Bulk | PBE | relaxed
data_HfHgSb
_chemical_formula_sum 'Hf4 Hg4 Sb4'
_cell_length_a 6.8557
_cell_length_b 6.8557
_cell_length_c 6.8557
_cell_angle_alpha 90.00
_cell_angle_beta 90.00
_cell_angle_gamma 90.00
_space_group_name_H-M_alt 'F -4 3 m'
_space_group_IT_number 216
_space_group_name_Hall 'F -4 2 3'
loop_
_atom_site_label
_atom_site_type_symbol
_atom_site_fract_x
_atom_site_fract_y
_atom_site_fract_z
Hf1 Hf 0.0000 0.0000 0.0000
Hg1 Hg 0.2500 0.2500 0.7500
Sb1 Sb 0.2500 0.2500 0.2500
# magnetic moment: 0.03 μB/atom
# polymorph energy (0 for the lowest one): 0 meV per atom



2.
# Hf2Sc2Hg | OQMD via LeMat-Bulk | PBE | relaxed
data_Hf2Sc2Hg
_chemical_formula_sum 'Hf4 Sc4 Hg2'
_cell_length_a 4.1323
_cell_length_b 4.1323
_cell_length_c 13.3331
_cell_angle_alpha 90.00
_cell_angle_beta 90.00
_cell_angle_gamma 90.00
_space_group_name_H-M_alt 'I 4/m m m'
_space_group_IT_number 139
_space_group_name_Hall '-I 4 2'
loop_
_atom_site_label
_atom_site_type_symbol
_atom_site_fract_x
_atom_site_fract_y
_atom_site_fract_z
Hf1 Hf 0.0000 0.0000 0.0903
Sc1 Sc 0.0000 0.5000 0.2500
Hg1 Hg 0.0000 0.0000 0.5000
# magnetic moment: 0.00 μB/atom
# formation energy from the elements: 0.62 eV per atom
# polymorph energy (0 for the lowest one): 112 meV per atom



3.
# Hf2Sc2Hg | OQMD via LeMat-Bulk | PBE | relaxed
data_Hf2Sc2Hg
_chemical_formula_sum 'Hf4 Sc4 Hg2'
_cell_length_a 4.1359
_cell_length_b 4.1359
_cell_length_c 13.2404
_cell_angle_alpha 90.00
_cell_angle_beta 90.00
_cell_angle_gamma 90.00
_space_group_name_H-M_alt 'I 4/m m m'
_space_group_IT_number 139
_space_group_name_Hall '-I 4 2'
loop_
_atom_site_label
_atom_site_type_symbol
_atom_site_fract_x
_atom_site_fract_y
_atom_site_fract_z
Hf1 Hf 0.0000 0.5000 0.2500
Sc1 Sc 0.0000 0.0000 0.0925
Hg1 Hg 0.0000 0.0000 0.5000
# magnetic moment: 0.00 μB/atom
# formation energy from the elements: 0.50 eV per atom
# polymorph energy (0 for the lowest one): 0 meV per atom



4.
# HfScHg | OQMD via LeMat-Bulk | PBE | relaxed
data_HfScHg
_chemical_formula_sum 'Hf4 Sc4 Hg4'
_cell_length_a 6.7307
_cell_length_b 6.7307
_cell_length_c 6.7307
_cell_angle_alpha 90.00
_cell_angle_beta 90.00
_cell_angle_gamma 90.00
_space_group_name_H-M_alt 'F -4 3 m'
_space_group_IT_number 216
_space_group_name_Hall 'F -4 2 3'
loop_
_atom_site_label
_atom_site_type_symbol
_atom_site_fract_x
_atom_site_fract_y
_atom_site_fract_z
Hf1 Hf 0.0000 0.0000 0.0000
Sc1 Sc 0.2500 0.2500 0.2500
Hg1 Hg 0.0000 0.0000 0.5000
# magnetic moment: 0.40 μB/atom
# formation energy from the elements: 0.74 eV per atom



> The highest magnetic moment belongs to which entry?

HfScHg



> Look up the magnetic moment of the second one.

0.00 μB/atom



> Which of these has the highest magnetic moment?

HfScHg



> Look up the magnetic moment of the second one.

0.00 μB/atom